Material: RbTiTc3
Method: DFT, PBE-GGA
State: optimized geometry

Cell lengths 4.610, 4.610, 4.610 Å; angles 90.00, 90.00, 90.00 degrees
Fractional positions:
Tc  0.000  0.500  0.000
Tc  0.000  0.000  0.500
Tc  0.500  0.000  0.000
Rb  0.000  0.000  0.000
Ti  0.500  0.500  0.500

Properties
- Space-group type: Pm-3m, No. 221
- ΔE_f: 3.00 eV/atom
- E: -0.184 Ha/atom
- Polymorph energy (0 for the lowest one): 1330.4 meV/atom



Material: Rb2TiTc2
Method: DFT, PBE-GGA
State: optimized geometry

Cell lengths 4.007, 4.007, 8.511 Å; angles 76.39, 76.39, 90.00 degrees
Site moments in Bohr magnetons follow the coordinates.
Fractional positions:
Tc  0.434  0.434  0.131  0.14
Tc  0.566  0.566  0.869  0.14
Rb  0.750  0.250  0.500  0.03
Rb  0.250  0.750  0.500  0.03
Ti  0.000  0.000  0.000  -0.31

Properties
- Space-group type: I4/mmm, No. 139
- ΔE_f: 1.53 eV/atom
- E: -0.169 Ha/atom
- Polymorph energy (0 for the lowest one): 0.0 meV/atom



Material: RbTiTc3
Method: DFT, PBE-GGA
State: optimized geometry

Cell lengths 4.801, 4.801, 4.801 Å; angles 90.00, 90.00, 90.00 degrees
Site moments in Bohr magnetons follow the coordinates.
Fractional positions:
Tc  0.000  0.500  0.000  1.31
Tc  0.000  0.000  0.500  1.23
Tc  0.500  0.000  0.000  1.41
Rb  0.500  0.500  0.500  0.04
Ti  0.000  0.000  0.000  -0.26

Properties
- Space-group type: Pm-3m, No. 221
- ΔE_f: 1.66 eV/atom
- E: -0.233 Ha/atom
- Polymorph energy (0 for the lowest one): 0.0 meV/atom



Material: Rb2TiTc2
Method: DFT, PBE-GGA
State: optimized geometry

Cell lengths 10.449, 10.449, 2.874 Å; angles 90.00, 90.00, 90.00 degrees
Site moments in Bohr magnetons follow the coordinates.
Fractional positions:
Tc  0.428  0.928  0.000  -0.09
Tc  0.928  0.572  0.000  -0.09
Tc  0.572  0.072  0.000  -0.09
Tc  0.072  0.428  0.000  -0.09
Rb  0.211  0.711  0.500  0.02
Rb  0.711  0.789  0.500  0.02
Rb  0.789  0.289  0.500  0.02
Rb  0.289  0.211  0.500  0.02
Ti  0.000  0.000  0.000  2.00
Ti  0.500  0.500  0.000  2.00

Properties
- Space-group type: P4/mbm, No. 127
- ΔE_f: 1.65 eV/atom
- E: -0.164 Ha/atom
- Polymorph energy (0 for the lowest one): 128.0 meV/atom



Material: RbTiZn2Tc
Method: DFT, PBE-GGA
State: optimized geometry

Cell lengths 5.056, 4.854, 5.056 Å; angles 90.00, 90.00, 90.00 degrees
Fractional positions:
Zn  0.000  0.000  0.500
Zn  0.500  0.000  0.000
Tc  0.000  0.500  0.000
Rb  0.000  0.000  0.000
Ti  0.500  0.500  0.500

Properties
- Space-group type: P4/mmm, No. 123
- ΔE_f: 2.31 eV/atom
- E: -0.075 Ha/atom



Material: RbTlTc2
Method: DFT, PBE-GGA
State: optimized geometry

Cell lengths 5.015, 5.015, 5.015 Å; angles 60.00, 60.00, 60.00 degrees
Site moments in Bohr magnetons follow the coordinates.
Fractional positions:
Tl  0.500  0.500  0.500  -0.08
Tc  0.250  0.250  0.250  2.35
Tc  0.750  0.750  0.750  2.35
Rb  0.000  0.000  0.000  0.07

Properties
- Space-group type: Fm-3m, No. 225
- ΔE_f: 1.72 eV/atom
- E: -0.158 Ha/atom
- Polymorph energy (0 for the lowest one): 0.0 meV/atom



Material: RbTlTc2
Method: DFT, PBE-GGA
State: optimized geometry

Cell lengths 8.362, 8.362, 6.550 Å; angles 50.34, 50.34, 90.00 degrees
Site moments in Bohr magnetons follow the coordinates.
Fractional positions:
Tl  0.000  0.000  0.000  -0.03
Tl  0.750  0.250  0.500  -0.03
Tc  0.668  0.125  0.250  1.01
Tc  0.082  0.625  0.250  1.00
Tc  0.375  0.332  0.750  1.02
Tc  0.875  0.918  0.750  1.00
Rb  0.500  0.500  0.000  0.00
Rb  0.250  0.750  0.500  0.00

Properties
- Space-group type: I-42d, No. 122
- ΔE_f: 1.86 eV/atom
- E: -0.153 Ha/atom
- Polymorph energy (0 for the lowest one): 140.4 meV/atom



Material: RbTlTc3
Method: DFT, PBE-GGA
State: optimized geometry

Cell lengths 5.296, 5.296, 5.296 Å; angles 90.00, 90.00, 90.00 degrees
Site moments in Bohr magnetons follow the coordinates.
Fractional positions:
Tl  0.000  0.000  0.000  -0.04
Tc  0.000  0.500  0.000  2.71
Tc  0.000  0.000  0.500  3.00
Tc  0.500  0.000  0.000  2.11
Rb  0.500  0.500  0.500  0.02

Properties
- Space-group type: Pm-3m, No. 221
- ΔE_f: 2.34 eV/atom
- E: -0.167 Ha/atom
- Polymorph energy (0 for the lowest one): 0.0 meV/atom